#one
PBE Na2Au2O5, relaxed; space group = No. 123; crystal system = tetragonal
1.0
-3.463 6.769 -3.150
-1.840 0.628 3.372
3.013 2.123 1.249
O Na Au
5 2 2
Direct
0.500 0.500 0.500
0.183 0.500 0.000
0.817 0.500 0.000
0.183 0.000 0.500
0.817 0.000 0.500
0.500 0.000 0.000
0.000 0.000 0.000
0.759 0.500 0.500
0.241 0.500 0.500

=====

#two
PBE Na2Au2O5, relaxed; space group = No. 123; crystal system = tetragonal
1.0
7.968 0.000 0.000
0.000 4.186 0.000
0.000 0.000 4.186
O Na Au
5 2 2
Direct
0.907 0.000 0.500
0.093 0.000 0.500
0.500 0.500 0.500
0.907 0.500 0.000
0.093 0.500 0.000
0.231 0.500 0.500
0.769 0.500 0.500
0.500 0.000 0.000
0.000 0.000 0.000

=====

Energetically preferred structure: #one | next structure: +381 meV per atom

=====

#one
PBE NaPAuO, relaxed; space group = No. 26; crystal system = orthorhombic
1.0
-2.067 -2.314 -0.454
4.039 -4.854 6.358
-2.809 1.879 3.218
Au O P Na
2 2 2 2
Direct
0.000 0.180 0.436
0.000 0.820 0.936
0.500 0.640 0.941
0.500 0.360 0.441
0.000 0.083 0.936
0.000 0.917 0.436
0.500 0.612 0.441
0.500 0.388 0.941

=====

#two
PBE NaPAuO, relaxed; space group = No. 129; crystal system = tetragonal
1.0
-2.444 2.176 -2.527
0.734 -2.706 -3.040
-7.571 -5.225 2.823
P O Na Au
2 2 2 2
Direct
0.000 0.500 0.039
0.500 0.000 0.961
0.500 0.500 0.000
0.000 0.000 0.000
0.500 0.500 0.500
0.000 0.000 0.500
0.000 0.500 0.285
0.500 0.000 0.715

=====

#three
PBE NaPAuO, relaxed; space group = No. 129; crystal system = tetragonal
1.0
-3.667 -0.119 2.137
1.748 -2.614 2.853
1.877 5.080 3.504
Au Na P O
2 2 2 2
Direct
0.250 0.750 0.500
0.750 0.250 0.500
0.250 0.250 0.140
0.750 0.750 0.860
0.750 0.750 0.270
0.250 0.250 0.730
0.250 0.750 0.000
0.750 0.250 0.000

=====

#four
PBE NaPAuO, relaxed; space group = No. 26; crystal system = orthorhombic
1.0
-1.259 -2.974 0.092
1.353 -0.300 8.790
-4.432 1.900 0.747
Au O P Na
2 2 2 2
Direct
0.000 0.291 0.458
0.000 0.709 0.958
0.000 0.908 0.783
0.000 0.092 0.283
0.500 0.524 0.068
0.500 0.476 0.568
0.500 0.918 0.445
0.500 0.082 0.945

=====

Energetically preferred structure: #four | next structure: +164 meV per atom

=====

#one
PBE NaTeAuO, relaxed; space group = No. 129; crystal system = tetragonal
1.0
-2.334 -3.501 0.302
0.006 -0.366 -4.202
8.305 -5.496 0.491
Te Au Na O
2 2 2 2
Direct
0.000 0.000 0.278
0.500 0.500 0.722
0.500 0.500 0.066
0.000 0.000 0.934
0.500 0.000 0.500
0.000 0.500 0.500
0.000 0.500 0.000
0.500 0.000 0.000

=====

#two
PBE NaTeAuO, relaxed; space group = No. 26; crystal system = orthorhombic
1.0
3.446 0.000 0.000
0.000 8.197 0.000
0.000 0.000 6.260
Na O Au Te
2 2 2 2
Direct
0.000 0.042 0.031
0.000 0.958 0.531
0.500 0.944 0.269
0.500 0.056 0.769
0.500 0.282 0.652
0.500 0.718 0.152
0.000 0.481 0.039
0.000 0.519 0.539

=====

Energetically preferred structure: #two | next structure: +614 meV per atom

=====

#one
PBE RbNaPAu, relaxed; space group = No. 40; crystal system = orthorhombic
1.0
6.391 0.000 0.000
0.000 3.660 4.791
0.000 -3.660 4.791
Au P Rb Na
2 2 2 2
Direct
0.500 0.503 0.503
0.000 0.503 0.503
0.250 0.731 0.240
0.750 0.240 0.731
0.250 0.977 0.677
0.750 0.677 0.977
0.750 0.036 0.332
0.250 0.332 0.036

=====

#two
PBE RbNaPAu, relaxed; space group = No. 11; crystal system = monoclinic
1.0
5.990 0.000 0.000
0.000 6.077 0.000
-1.570 0.000 6.023
Rb Na Au P
2 2 2 2
Direct
0.962 0.750 0.315
0.038 0.250 0.685
0.341 0.750 0.986
0.659 0.250 0.014
0.500 0.000 0.500
0.500 0.500 0.500
0.275 0.250 0.225
0.725 0.750 0.775

=====

Energetically preferred structure: #two | next structure: +11 meV per atom

=====

#one
PBE NaPdWAu, relaxed; space group = No. 216; crystal system = cubic
1.0
4.542 -0.444 0.316
2.129 1.002 3.923
1.800 -3.348 2.546
W Au Na Pd
1 1 1 1
Direct
0.250 0.250 0.250
0.000 0.000 0.000
0.750 0.750 0.750
0.500 0.500 0.500

=====

#two
PBE NaPdWAu, relaxed; space group = No. 216; crystal system = cubic
1.0
-0.618 -3.516 -2.779
-4.086 -1.908 -0.360
-2.409 0.512 -3.795
W Na Pd Au
1 1 1 1
Direct
0.000 0.000 0.000
0.750 0.750 0.750
0.250 0.250 0.250
0.500 0.500 0.500

=====

Energetically preferred structure: #one | next structure: +140 meV per atom

=====

#one
PBE NaZrAuS3, relaxed; space group = No. 63; crystal system = orthorhombic
1.0
-3.484 0.750 6.042
2.505 -4.257 -4.981
8.609 -0.869 5.071
Au S Zr Na
2 6 2 2
Direct
0.411 0.589 0.250
0.589 0.411 0.750
0.063 0.937 0.250
0.632 0.368 0.522
0.632 0.368 0.978
0.368 0.632 0.022
0.368 0.632 0.478
0.937 0.063 0.750
0.000 0.000 0.000
0.000 0.000 0.500
0.274 0.726 0.750
0.726 0.274 0.250

=====

#two
PBE NaZrAuS3, relaxed; space group = No. 62; crystal system = orthorhombic
1.0
11.516 0.000 0.000
0.000 3.788 0.000
0.000 0.000 11.586
Au S Na Zr
4 12 4 4
Direct
0.312 0.000 0.251
0.188 0.000 0.751
0.812 0.500 0.249
0.688 0.500 0.749
0.076 0.000 0.576
0.354 0.500 0.741
0.670 0.500 0.539
0.830 0.500 0.039
0.146 0.500 0.241
0.854 0.000 0.759
0.576 0.500 0.924
0.424 0.000 0.076
0.646 0.000 0.259
0.170 0.000 0.961
0.330 0.000 0.461
0.924 0.500 0.424
0.501 0.000 0.649
0.999 0.000 0.149
0.001 0.500 0.851
0.499 0.500 0.351
0.169 0.500 0.446
0.669 0.000 0.054
0.831 0.000 0.554
0.331 0.500 0.946

=====

Energetically preferred structure: #one | next structure: +36 meV per atom

=====

#one
PBE NaSnAuSe3, relaxed; space group = No. 62; crystal system = orthorhombic
1.0
4.098 0.000 0.000
0.000 10.488 0.000
0.000 0.000 14.062
Au Na Sn Se
4 4 4 12
Direct
0.250 0.739 0.717
0.250 0.761 0.217
0.750 0.261 0.283
0.750 0.239 0.783
0.250 0.483 0.336
0.750 0.517 0.664
0.250 0.017 0.836
0.750 0.983 0.164
0.250 0.341 0.027
0.250 0.159 0.527
0.750 0.841 0.473
0.750 0.659 0.973
0.250 0.815 0.044
0.250 0.307 0.682
0.250 0.514 0.885
0.250 0.685 0.544
0.750 0.014 0.615
0.750 0.807 0.818
0.750 0.486 0.115
0.250 0.986 0.385
0.750 0.693 0.318
0.250 0.193 0.182
0.750 0.315 0.456
0.750 0.185 0.956

=====

#two
PBE NaSnAuSe3, relaxed; space group = No. 62; crystal system = orthorhombic
1.0
10.679 0.000 0.000
0.000 3.952 0.000
0.000 0.000 14.593
Sn Se Au Na
4 12 4 4
Direct
0.992 0.750 0.750
0.508 0.250 0.250
0.492 0.750 0.750
0.008 0.250 0.250
0.014 0.250 0.616
0.758 0.250 0.195
0.986 0.750 0.384
0.530 0.750 0.384
0.486 0.750 0.116
0.970 0.250 0.884
0.514 0.250 0.884
0.470 0.250 0.616
0.030 0.750 0.116
0.242 0.750 0.805
0.258 0.250 0.305
0.742 0.750 0.695
0.742 0.250 0.885
0.758 0.750 0.385
0.242 0.250 0.615
0.258 0.750 0.115
0.742 0.250 0.544
0.258 0.750 0.456
0.758 0.750 0.044
0.242 0.250 0.956

=====

#three
PBE NaSnAuSe3, relaxed; space group = No. 12; crystal system = monoclinic
1.0
8.460 -2.020 0.000
8.460 2.020 0.000
-2.339 0.000 8.813
Se Au Na Sn
6 2 2 2
Direct
0.335 0.335 0.698
0.346 0.346 0.156
0.665 0.665 0.302
0.500 0.500 0.500
0.654 0.654 0.844
0.000 0.000 0.000
0.507 0.507 0.216
0.493 0.493 0.784
0.132 0.132 0.561
0.868 0.868 0.439
0.174 0.174 0.087
0.826 0.826 0.913

=====

#four
PBE NaSnAuSe3, relaxed; space group = No. 11; crystal system = monoclinic
1.0
8.287 0.000 0.000
0.000 4.010 0.000
-2.366 0.000 9.347
Sn Se Na Au
2 6 2 2
Direct
0.680 0.250 0.645
0.320 0.750 0.355
0.431 0.750 0.641
0.569 0.250 0.359
0.303 0.750 0.076
0.900 0.750 0.635
0.100 0.250 0.365
0.697 0.250 0.924
0.313 0.250 0.846
0.687 0.750 0.154
0.038 0.750 0.893
0.962 0.250 0.107

=====

Energetically preferred structure: #one | next structure: +8 meV per atom